[1]
AlTl2ReTe | GGA-PBE | optimized geometry

a b c (Å): 5.368 5.372 5.368
angles (deg): 90.00 90.00 90.00
Each line ends with the local moment (μB).
Atoms (fractional coordinates):
Tl: 0.500 0.000 0.000  -0.02
Tl: 0.000 0.000 0.500  -0.01
Te: 0.000 0.500 0.000  0.07
Re: 0.500 0.500 0.500  3.74
Al: 0.000 0.000 0.000  0.01

- N(E_F): 2.98 states/eV/cell
- Space group: P4/mmm
- Uncorrected formation energy: 1.3558 eV/atom


[2]
PmSmSiRh | GGA-PBE | optimized geometry

a b c (Å): 4.253 4.117 5.737
angles (deg): 90.00 111.76 90.00
Atoms (fractional coordinates):
Pm: 0.861 0.500 0.722
Rh: 0.429 0.000 0.858
Si: 0.568 0.500 0.136
Sm: 0.142 0.000 0.284

- N(E_F): 2.77 states/eV/cell
- Distance to the lowest polymorph of the same formula: 0.0000 eV per atom
- Space group: Amm2
- Uncorrected formation energy: -0.7782 eV/atom


[3]
Ac2CdPbSe5 | GGA-PBE | optimized geometry

a b c (Å): 4.395 9.514 12.867
angles (deg): 90.00 90.00 103.36
Atoms (fractional coordinates):
Pb: 0.793 0.587 0.509
Pb: 0.207 0.413 0.009
Se: 0.314 0.627 0.342
Se: 0.504 0.008 0.272
Se: 0.956 0.912 0.574
Se: 0.367 0.733 0.000
Se: 0.287 0.573 0.674
Se: 0.633 0.267 0.500
Se: 0.496 0.992 0.772
Se: 0.686 0.373 0.842
Se: 0.713 0.427 0.174
Se: 0.044 0.088 0.074
Ac: 0.130 0.260 0.304
Ac: 0.887 0.773 0.187
Ac: 0.870 0.740 0.804
Ac: 0.113 0.227 0.687
Cd: 0.450 0.899 0.461
Cd: 0.550 0.101 0.961

- N(E_F): 0.00 states/eV/cell
- Space group: Cmc2_1
- Uncorrected formation energy: -1.3651 eV/atom


[4]
CuAsPb4 | GGA-PBE | optimized geometry

a b c (Å): 6.360 6.360 6.360
angles (deg): 60.00 60.00 60.00
Atoms (fractional coordinates):
Pb: 0.375 0.375 0.876
Pb: 0.876 0.375 0.375
Pb: 0.375 0.876 0.375
Pb: 0.375 0.375 0.375
Cu: 0.000 0.000 0.000
As: 0.750 0.750 0.750

- N(E_F): 4.00 states/eV/cell
- Space group: F-43m
- Calculated formation energy: 3.9 eV/f.u.


[5]
YMo2 | GGA-PBE | optimized geometry

a b c (Å): 6.150 4.670 8.506
angles (deg): 90.00 90.00 90.00
Atoms (fractional coordinates):
Mo: 0.135 0.250 0.576
Mo: 0.474 0.750 0.799
Mo: 0.026 0.250 0.299
Mo: 0.635 0.250 0.924
Mo: 0.974 0.750 0.701
Mo: 0.365 0.750 0.076
Mo: 0.865 0.750 0.424
Mo: 0.526 0.250 0.201
Y: 0.344 0.750 0.415
Y: 0.156 0.250 0.915
Y: 0.844 0.750 0.085
Y: 0.656 0.250 0.585

- N(E_F): 13.70 states/eV/cell
- Space group: Pnma
- Calculated formation energy: 1.1 eV/f.u.


[6]
La2Al3Re | GGA-PBE | optimized geometry

a b c (Å): 5.697 5.697 5.602
angles (deg): 89.99 120.51 120.06
Atoms (fractional coordinates):
La: 0.256 0.628 0.884
La: 0.744 0.372 0.116
Al: 0.500 0.500 0.500
Al: 0.500 0.000 0.500
Al: 0.000 0.000 0.500
Re: 0.000 0.000 0.000

- N(E_F): 5.12 states/eV/cell
- Space group: R-3m
- Calculated formation energy: -1.8 eV/f.u.